A plane-wave DFT calculation with GGA-PBE was carried out for a geometry-optimized La2Er3Sn4 structure.

Cell lengths 8.3485, 8.3532, 8.1070 Å; angles 90.00, 110.27, 90.00 degrees
Closest atoms and distances in Å follow each position.
Space group P2_1/c (No. 14)
Unique sites:
1 La 0.1919 0.1760 0.0629 x4  7 Sn 3.24-3.60
2 Er 0.2488 0.6665 0.2443 x4  6 Sn 3.06-3.21
3 Er 0.5000 0.0000 0.5000 x2  6 Sn 3.17-3.28
4 Sn 0.0836 0.5414 0.8471 x4  4 Er 3.06-3.28, 1 La 3.30, 1 Sn 3.31
5 Sn 0.4922 0.1345 0.8624 x4  5 Er 3.08-3.24, 1 Sn 3.14, 2 La 3.24-3.45

## Properties
The raw total energy is -5.20 eV/atom. The calculation puts the formation enthalpy at 0 K at -7.27 eV per formula unit. The mass density comes out at 7.86 g cm⁻³.

A plane-wave DFT calculation with GGA-PBE was carried out for a geometry-optimized LaErSn structure.

Cell lengths 4.4302, 16.4858, 4.9067 Å; angles 90.00, 90.00, 90.00 degrees
Closest atoms and distances in Å follow each position.
Space group Cmcm (No. 63)
Unique sites:
1 La 0.0000 0.0711 0.2500 x4  6 Sn 3.37-3.75, 2 La 3.39, 2 Er 3.63
2 Er 0.0000 0.2541 0.7500 x4  4 Sn 3.22-3.30, 4 Er 3.31
3 Sn 0.0000 0.3876 0.2500 x4  4 Er 3.22-3.30, 4 La 3.37

## Properties
The raw total energy is -5.09 eV/atom. The calculation puts the formation enthalpy at 0 K at -1.77 eV per formula unit. The mass density comes out at 7.87 g cm⁻³.

A plane-wave DFT calculation with GGA-PBE was carried out for a geometry-optimized La2ErSn2 structure.

Cell lengths 8.1792, 8.1792, 4.7308 Å; angles 90.00, 90.00, 90.00 degrees
Closest atoms and distances in Å follow each position.
Space group P4/mbm (No. 127)
Unique sites:
1 La 0.1723 0.3277 0.0000 x4  6 Sn 3.29-3.44
2 Er 0.0000 0.0000 0.5000 x2  4 Sn 3.21
3 Sn 0.1300 0.6300 0.5000 x4  1 Sn 3.01, 2 Er 3.21, 2 La 3.29

## Properties
The raw total energy is -5.22 eV/atom. The calculation puts the formation enthalpy at 0 K at -3.69 eV per formula unit. The mass density comes out at 7.16 g cm⁻³.

A plane-wave DFT calculation with GGA-PBE was carried out for a geometry-optimized La12ErSn3 structure.

Cell lengths 5.0590, 5.0590, 20.4480 Å; angles 90.00, 90.00, 90.00 degrees
Closest atoms and distances in Å follow each position.
Space group P4/mmm (No. 123)
Unique sites:
1 La 0.0000 0.0000 0.0000 x1  8 La 3.55, 4 Sn 3.58
2 La 0.0000 0.0000 0.2448 x2  8 La 3.56-3.58, 4 Sn 3.58
3 La 0.0000 0.0000 0.5000 x1  4 Er 3.58, 8 La 3.69
4 La 0.0000 0.5000 0.1221 x4  8 La 3.55-3.58, 4 Sn 3.55-3.57
5 La 0.0000 0.5000 0.3687 x4  2 Sn 3.57, 8 La 3.58-3.69, 2 Er 3.69
6 Er 0.5000 0.5000 0.5000 x1  12 La 3.58-3.69
7 Sn 0.5000 0.5000 0.0000 x1  12 La 3.55-3.58
8 Sn 0.5000 0.5000 0.2452 x2  12 La 3.57-3.58

## Properties
The raw total energy is -5.08 eV/atom. The calculation puts the formation enthalpy at 0 K at -5.62 eV per formula unit. The mass density comes out at 6.95 g cm⁻³.

A plane-wave DFT calculation with GGA-PBE was carried out for a geometry-optimized La3ErSn12 structure.

Cell lengths 4.7881, 4.7881, 19.0350 Å; angles 90.00, 90.00, 90.00 degrees
Closest atoms and distances in Å follow each position.
Space group P4/mmm (No. 123)
Unique sites:
1 La 0.0000 0.0000 0.0000 x1  12 Sn 3.39-3.40
2 La 0.0000 0.0000 0.2532 x2  12 Sn 3.39-3.41
3 Er 0.0000 0.0000 0.5000 x1  12 Sn 3.30-3.39
4 Sn 0.0000 0.5000 0.1270 x4  8 Sn 3.39-3.40, 4 La 3.39-3.40
5 Sn 0.0000 0.5000 0.3809 x4  8 Sn 3.30-3.40, 2 Er 3.30, 2 La 3.41
6 Sn 0.5000 0.5000 0.0000 x1  4 La 3.39, 8 Sn 3.40
7 Sn 0.5000 0.5000 0.2541 x2  4 La 3.39, 8 Sn 3.40
8 Sn 0.5000 0.5000 0.5000 x1  8 Sn 3.30, 4 Er 3.39

## Properties
The raw total energy is -4.75 eV/atom. The calculation puts the formation enthalpy at 0 K at -8.56 eV per formula unit. The mass density comes out at 7.64 g cm⁻³.

A plane-wave DFT calculation with GGA-PBE was carried out for a geometry-optimized La2Er3Sn4 structure.

Cell lengths 7.0657, 17.2425, 8.9358 Å; angles 90.00, 90.00, 90.00 degrees
Closest atoms and distances in Å follow each position.
Space group Cmce (No. 64)
Unique sites:
1 La 0.0000 0.1107 0.0877 x8  8 Sn 3.38-3.78
2 Er 0.0000 0.0000 0.5000 x4  6 Sn 2.91-3.25
3 Er 0.2500 0.2081 0.7500 x8  5 Sn 3.01-3.26
4 Sn 0.0000 0.1864 0.4462 x8  5 Er 3.08-3.26
5 Sn 0.2500 0.0336 0.7500 x8  3 Er 2.91-3.01

## Properties
The raw total energy is -5.07 eV/atom. The calculation puts the formation enthalpy at 0 K at -6.04 eV per formula unit. The mass density comes out at 7.65 g cm⁻³.

A plane-wave DFT calculation with GGA-PBE was carried out for a geometry-optimized LaErSn structure.

Cell lengths 4.6855, 4.6855, 17.3125 Å; angles 90.00, 90.00, 90.00 degrees
Closest atoms and distances in Å follow each position.
Space group I4/mmm (No. 139)
Unique sites:
1 La 0.0000 0.0000 0.1768 x4  5 Sn 3.38-3.42
2 Er 0.0000 0.5000 0.0000 x4  4 Sn 3.22, 4 Er 3.31
3 Sn 0.0000 0.0000 0.3720 x4  4 Er 3.22, 5 La 3.38-3.42

## Properties
The raw total energy is -5.14 eV/atom. The calculation puts the formation enthalpy at 0 K at -1.91 eV per formula unit. The mass density comes out at 7.42 g cm⁻³.

A plane-wave DFT calculation with GGA-PBE was carried out for a geometry-optimized LaErSn structure.

Cell lengths 5.1305, 5.1305, 4.2298 Å; angles 90.00, 90.00, 120.00 degrees
Closest atoms and distances in Å follow each position.
Space group P3m1 (No. 156)
Unique sites:
1 La 0.0000 0.0000 0.0000 x1  6 Sn 3.62-3.66, 6 Er 3.63-3.65
2 Er 0.3333 0.6667 0.5039 x1  3 Sn 2.96
3 Sn 0.6667 0.3333 0.4902 x1  3 Er 2.96

## Properties
The raw total energy is -4.91 eV/atom. The calculation puts the formation enthalpy at 0 K at -1.25 eV per formula unit. The mass density comes out at 7.32 g cm⁻³.

A plane-wave DFT calculation with GGA-PBE was carried out for a geometry-optimized La5ErSn6 structure.

Cell lengths 5.0728, 9.1275, 15.2218 Å; angles 90.00, 90.00, 90.00 degrees
Closest atoms and distances in Å follow each position.
Space group Immm (No. 71)
Unique sites:
1 La 0.0000 0.0000 0.0000 x2  8 Sn 3.39-3.45, 4 La 3.59
2 La 0.0000 0.0000 0.3349 x4  8 Sn 3.36-3.49, 2 Er 3.57, 2 La 3.60
3 La 0.0000 0.5000 0.3331 x4  8 Sn 3.43-3.45, 4 La 3.59-3.60
4 Er 0.0000 0.5000 0.0000 x2  8 Sn 3.35-3.37, 4 La 3.57
5 Sn 0.0000 0.2439 0.5000 x4  6 La 3.36-3.45, 2 Er 3.37, 4 Sn 3.55
6 Sn 0.0000 0.2530 0.1629 x8  1 Er 3.35, 7 La 3.39-3.49, 4 Sn 3.55-3.67

## Properties
The raw total energy is -5.14 eV/atom. The calculation puts the formation enthalpy at 0 K at -8.51 eV per formula unit. The mass density comes out at 7.42 g cm⁻³.

A plane-wave DFT calculation with GGA-PBE was carried out for a geometry-optimized La5ErSn3 structure.

Cell lengths 9.7625, 9.7625, 6.8708 Å; angles 90.00, 90.00, 120.00 degrees
Closest atoms and distances in Å follow each position.
Space group P6_3/mcm (No. 193)
Unique sites:
1 La 0.0000 0.3294 0.2500 x6  5 Sn 3.24-3.44
2 La 0.3333 0.6667 0.0000 x4  8 La 3.44-3.70, 6 Sn 3.68
3 Er 0.0000 0.0000 0.0000 x2  2 Er 3.44, 6 La 3.65, 6 Sn 3.68
4 Sn 0.0000 0.3333 0.7500 x6  5 La 3.24-3.44

## Properties
The raw total energy is -5.15 eV/atom. The calculation puts the formation enthalpy at 0 K at -5.16 eV per formula unit. The mass density comes out at 7.13 g cm⁻³.

Among the records above, which one has the highest mass density? number 2

Which value of mass density does entry 6 give? 7.65 g cm⁻³

What did the ninth record say?
A plane-wave DFT calculation with GGA-PBE was carried out for a geometry-optimized La5ErSn6 structure.

Cell lengths 5.0728, 9.1275, 15.2218 Å; angles 90.00, 90.00, 90.00 degrees
Closest atoms and distances in Å follow each position.
Space group Immm (No. 71)
Unique sites:
1 La 0.0000 0.0000 0.0000 x2  8 Sn 3.39-3.45, 4 La 3.59
2 La 0.0000 0.0000 0.3349 x4  8 Sn 3.36-3.49, 2 Er 3.57, 2 La 3.60
3 La 0.0000 0.5000 0.3331 x4  8 Sn 3.43-3.45, 4 La 3.59-3.60
4 Er 0.0000 0.5000 0.0000 x2  8 Sn 3.35-3.37, 4 La 3.57
5 Sn 0.0000 0.2439 0.5000 x4  6 La 3.36-3.45, 2 Er 3.37, 4 Sn 3.55
6 Sn 0.0000 0.2530 0.1629 x8  1 Er 3.35, 7 La 3.39-3.49, 4 Sn 3.55-3.67

## Properties
The raw total energy is -5.14 eV/atom. The calculation puts the formation enthalpy at 0 K at -8.51 eV per formula unit. The mass density comes out at 7.42 g cm⁻³.